Ac3Nb: relaxed, PBE-GGA.

Cell and atoms, written as CIF:
```
data_Ac3Nb
_chemical_formula_sum 'Ac6 Nb2'
_cell_length_a 5.3058
_cell_length_b 5.3058
_cell_length_c 10.1282
_cell_angle_alpha 90.00
_cell_angle_beta 90.00
_cell_angle_gamma 90.00
_symmetry_space_group_name_H-M 'I 4/m m m'
_symmetry_Int_Tables_number 139
_symmetry_space_group_name_Hall '-I 4 2'
loop_
_atom_site_label
_atom_site_type_symbol
_atom_site_fract_x
_atom_site_fract_y
_atom_site_fract_z
Ac1 Ac 0.0000 0.0000 0.0000
Ac2 Ac 0.0000 0.5000 0.2500
Nb1 Nb 0.0000 0.0000 0.5000
```

## Properties
The value obtained for the magnetic moment is 1.53 μB/f.u. The calculation puts the energy of formation from the pure elements at 0.525 eV/atom. As for the energy: -5.07 eV/atom. The crystal system is tetragonal.



SmLuTl: relaxed, PBE-GGA.

Cell and atoms, written as CIF:
```
data_SmLuTl
_chemical_formula_sum 'Sm4 Lu4 Tl4'
_cell_length_a 7.3411
_cell_length_b 7.3411
_cell_length_c 7.3411
_cell_angle_alpha 90.00
_cell_angle_beta 90.00
_cell_angle_gamma 90.00
_symmetry_space_group_name_H-M 'F -4 3 m'
_symmetry_Int_Tables_number 216
_symmetry_space_group_name_Hall 'F -4 2 3'
loop_
_atom_site_label
_atom_site_type_symbol
_atom_site_fract_x
_atom_site_fract_y
_atom_site_fract_z
Sm1 Sm 0.0000 0.0000 0.0000
Lu1 Lu 0.0000 0.0000 0.5000
Tl1 Tl 0.2500 0.2500 0.7500
```

## Properties
The value obtained for the magnetic moment is 0.01 μB/f.u. For the energy relative to the lowest polymorph listed for this composition, the calculation gives 191 meV per atom. The calculation puts the energy of formation from the pure elements at -0.023 eV/atom. As for the energy: -3.89 eV/atom. The crystal system is cubic.



Mg5Ga2Ag5: relaxed, PBE-GGA.

Cell and atoms, written as CIF:
```
data_Mg5Ga2Ag5
_chemical_formula_sum 'Mg10 Ga4 Ag10'
_cell_length_a 13.0425
_cell_length_b 3.8773
_cell_length_c 9.9448
_cell_angle_alpha 90.00
_cell_angle_beta 118.51
_cell_angle_gamma 90.00
_symmetry_space_group_name_H-M 'C 1 2/m 1'
_symmetry_Int_Tables_number 12
_symmetry_space_group_name_Hall '-C 2y'
loop_
_atom_site_label
_atom_site_type_symbol
_atom_site_fract_x
_atom_site_fract_y
_atom_site_fract_z
Mg1 Mg 0.0000 0.0000 0.0000
Mg2 Mg 0.0913 0.0000 0.7521
Mg3 Mg 0.1616 0.0000 0.4980
Ga1 Ga 0.1739 0.5000 0.0038
Ag1 Ag 0.0000 0.5000 0.5000
Ag2 Ag 0.0726 0.5000 0.2471
Ag3 Ag 0.2440 0.0000 0.2551
```

## Properties
The value obtained for the magnetic moment is 0.00 μB/f.u. The calculation puts the energy of formation from the pure elements at -0.171 eV/atom. As for the energy: -2.53 eV/atom. The crystal system is monoclinic.



DyEr6Tm12: relaxed, PBE-GGA.

Cell and atoms, written as CIF:
```
data_DyEr6Tm12
_chemical_formula_sum 'Dy3 Er18 Tm36'
_cell_length_a 14.7223
_cell_length_b 14.7223
_cell_length_c 10.1136
_cell_angle_alpha 90.00
_cell_angle_beta 90.00
_cell_angle_gamma 120.00
_symmetry_space_group_name_H-M 'R -3 m'
_symmetry_Int_Tables_number 166
_symmetry_space_group_name_Hall '-R 3 2"'
loop_
_atom_site_label
_atom_site_type_symbol
_atom_site_fract_x
_atom_site_fract_y
_atom_site_fract_z
Dy1 Dy 0.0000 0.0000 0.0000
Er1 Er 0.0654 0.5327 0.2187
Tm1 Tm 0.0000 0.3880 0.5000
Tm2 Tm 0.0764 0.1527 0.2658
```

## Properties
The value obtained for the magnetic moment is 0.00 μB/f.u. For the energy relative to the lowest polymorph listed for this composition, the calculation gives 288 meV per atom. The calculation puts the energy of formation from the pure elements at 0.454 eV/atom. As for the energy: -4.05 eV/atom. The crystal system is trigonal.



TbNdTmZn: relaxed, PBE-GGA.

Cell and atoms, written as CIF:
```
data_TbNdTmZn
_chemical_formula_sum 'Tb4 Nd4 Tm4 Zn4'
_cell_length_a 7.6002
_cell_length_b 7.6002
_cell_length_c 7.6002
_cell_angle_alpha 90.00
_cell_angle_beta 90.00
_cell_angle_gamma 90.00
_symmetry_space_group_name_H-M 'F -4 3 m'
_symmetry_Int_Tables_number 216
_symmetry_space_group_name_Hall 'F -4 2 3'
loop_
_atom_site_label
_atom_site_type_symbol
_atom_site_fract_x
_atom_site_fract_y
_atom_site_fract_z
Tb1 Tb 0.0000 0.0000 0.0000
Nd1 Nd 0.0000 0.0000 0.5000
Tm1 Tm 0.2500 0.2500 0.7500
Zn1 Zn 0.2500 0.2500 0.2500
```

## Properties
The value obtained for the magnetic moment is 0.00 μB/f.u. For the energy relative to the lowest polymorph listed for this composition, the calculation gives 187 meV per atom. The calculation puts the energy of formation from the pure elements at 0.023 eV/atom. As for the energy: -3.76 eV/atom. The crystal system is cubic.



DyAgSbAu: relaxed, PBE-GGA.

Cell and atoms, written as CIF:
```
data_DyAgSbAu
_chemical_formula_sum 'Dy4 Ag4 Sb4 Au4'
_cell_length_a 7.1331
_cell_length_b 7.1331
_cell_length_c 7.1331
_cell_angle_alpha 90.00
_cell_angle_beta 90.00
_cell_angle_gamma 90.00
_symmetry_space_group_name_H-M 'F -4 3 m'
_symmetry_Int_Tables_number 216
_symmetry_space_group_name_Hall 'F -4 2 3'
loop_
_atom_site_label
_atom_site_type_symbol
_atom_site_fract_x
_atom_site_fract_y
_atom_site_fract_z
Dy1 Dy 0.0000 0.0000 0.0000
Ag1 Ag 0.0000 0.0000 0.5000
Sb1 Sb 0.2500 0.2500 0.7500
Au1 Au 0.2500 0.2500 0.2500
```

## Properties
The value obtained for the magnetic moment is 0.00 μB/f.u. As for the energy: -4.22 eV/atom. For the formation energy from raw total energies, the calculation gives -0.50 eV/atom. The crystal system is cubic.



K2SbF5: relaxed, PBE-GGA.

Cell and atoms, written as CIF:
```
data_K2SbF5
_chemical_formula_sum 'K8 Sb4 F20'
_cell_length_a 7.9029
_cell_length_b 6.5150
_cell_length_c 12.9239
_cell_angle_alpha 90.00
_cell_angle_beta 113.83
_cell_angle_gamma 90.00
_symmetry_space_group_name_H-M 'P 1 21/c 1'
_symmetry_Int_Tables_number 14
_symmetry_space_group_name_Hall '-P 2ybc'
loop_
_atom_site_label
_atom_site_type_symbol
_atom_site_fract_x
_atom_site_fract_y
_atom_site_fract_z
K1 K 0.0086 0.2479 0.3808
K2 K 0.3266 0.7362 0.9450
Sb1 Sb 0.3126 0.2322 0.1966
F1 F 0.0494 0.1922 0.6016
F2 F 0.1853 0.0382 0.2746
F3 F 0.2451 0.5029 0.5746
F4 F 0.2685 0.0188 0.7905
F5 F 0.3499 0.0892 0.5681
```

## Properties
The value obtained for the magnetic moment is 0.00 μB/f.u. As for the energy: -4.63 eV/atom. For the formation energy from raw total energies, the calculation gives -2.67 eV/atom. The crystal system is monoclinic.



Pm2Pr8Hg: relaxed, PBE-GGA.

Cell and atoms, written as CIF:
```
data_Pm2Pr8Hg
_chemical_formula_sum 'Pm4 Pr16 Hg2'
_cell_length_a 17.9940
_cell_length_b 5.7231
_cell_length_c 7.9893
_cell_angle_alpha 90.00
_cell_angle_beta 111.08
_cell_angle_gamma 90.00
_symmetry_space_group_name_H-M 'C 1 2/m 1'
_symmetry_Int_Tables_number 12
_symmetry_space_group_name_Hall '-C 2y'
loop_
_atom_site_label
_atom_site_type_symbol
_atom_site_fract_x
_atom_site_fract_y
_atom_site_fract_z
Pm1 Pm 0.1867 0.0000 0.1592
Pr1 Pr 0.0137 0.0000 0.2681
Pr2 Pr 0.1041 0.5000 0.9295
Pr3 Pr 0.1646 0.5000 0.4285
Pr4 Pr 0.1820 0.0000 0.7304
Hg1 Hg 0.0000 0.5000 0.5000
```

## Properties
The value obtained for the magnetic moment is 0.00 μB/f.u. For the energy relative to the lowest polymorph listed for this composition, the calculation gives 50 meV per atom. The calculation puts the energy of formation from the pure elements at 0.009 eV/atom. As for the energy: -4.36 eV/atom. The crystal system is monoclinic.



Ba2Mg5Sn3: relaxed, PBE-GGA.

Cell and atoms, written as CIF:
```
data_Ba2Mg5Sn3
_chemical_formula_sum 'Ba8 Mg20 Sn12'
_cell_length_a 12.5889
_cell_length_b 13.9485
_cell_length_c 6.8202
_cell_angle_alpha 90.00
_cell_angle_beta 90.00
_cell_angle_gamma 90.00
_symmetry_space_group_name_H-M 'I b a m'
_symmetry_Int_Tables_number 72
_symmetry_space_group_name_Hall '-I 2 2c'
loop_
_atom_site_label
_atom_site_type_symbol
_atom_site_fract_x
_atom_site_fract_y
_atom_site_fract_z
Ba1 Ba 0.2430 0.1235 0.0000
Mg1 Mg 0.0000 0.2639 0.2500
Mg2 Mg 0.0000 0.5000 0.2500
Mg3 Mg 0.1299 0.1271 0.5000
Sn1 Sn 0.0000 0.0000 0.2500
Sn2 Sn 0.1418 0.3781 0.0000
```

## Properties
The value obtained for the magnetic moment is 0.00 μB/f.u. For the energy relative to the lowest polymorph listed for this composition, the calculation gives 0 meV per atom. The calculation puts the energy of formation from the pure elements at -0.394 eV/atom. As for the energy: -2.78 eV/atom. The crystal system is orthorhombic.



Cs2RbAs2Pd: relaxed, PBE-GGA.

Cell and atoms, written as CIF:
```
data_Cs2RbAs2Pd
_chemical_formula_sum 'Cs8 Rb4 As8 Pd4'
_cell_length_a 8.8464
_cell_length_b 14.8562
_cell_length_c 7.4164
_cell_angle_alpha 90.00
_cell_angle_beta 90.00
_cell_angle_gamma 90.00
_symmetry_space_group_name_H-M 'I b a m'
_symmetry_Int_Tables_number 72
_symmetry_space_group_name_Hall '-I 2 2c'
loop_
_atom_site_label
_atom_site_type_symbol
_atom_site_fract_x
_atom_site_fract_y
_atom_site_fract_z
Cs1 Cs 0.1672 0.1892 0.0000
Rb1 Rb 0.0000 0.5000 0.2500
As1 As 0.1753 0.0512 0.5000
Pd1 Pd 0.0000 0.0000 0.2500
```

## Properties
The value obtained for the magnetic moment is 0.00 μB/f.u. The calculation puts the energy of formation from the pure elements at -0.294 eV/atom. As for the energy: -3.15 eV/atom. The crystal system is orthorhombic.



Dy2HoSn: relaxed, PBE-GGA.

Cell and atoms, written as CIF:
```
data_Dy2HoSn
_chemical_formula_sum 'Dy2 Ho1 Sn1'
_cell_length_a 4.7953
_cell_length_b 4.7953
_cell_length_c 4.7959
_cell_angle_alpha 90.00
_cell_angle_beta 90.00
_cell_angle_gamma 90.00
_symmetry_space_group_name_H-M 'P 4/m m m'
_symmetry_Int_Tables_number 123
_symmetry_space_group_name_Hall '-P 4 2'
loop_
_atom_site_label
_atom_site_type_symbol
_atom_site_fract_x
_atom_site_fract_y
_atom_site_fract_z
Dy1 Dy 0.0000 0.5000 0.0000
Ho1 Ho 0.0000 0.0000 0.5000
Sn1 Sn 0.5000 0.5000 0.5000
```

## Properties
The value obtained for the magnetic moment is 0.00 μB/f.u. For the energy relative to the lowest polymorph listed for this composition, the calculation gives 0 meV per atom. The calculation puts the energy of formation from the pure elements at -0.416 eV/atom. As for the energy: -4.86 eV/atom. The crystal system is tetragonal.